1.
La2MgGaNi after structural relaxation, computed with PBE-GGA.

a b c (Å): 5.296 5.296 4.903
angles (deg): 90.00 90.00 90.00
Positions (direct):
La 0.000 0.500 0.000
La 0.500 0.000 0.000
Mg 0.000 0.000 0.500
Ga 0.500 0.500 0.500
Ni 0.000 0.000 0.000

Computed properties:
* polymorph energy (0 for the lowest one): 40 meV/atom

---

2.
Ac8La5Tb after structural relaxation, computed with PBE-GGA.

a b c (Å): 9.164 9.164 9.164
angles (deg): 111.49 111.49 105.50
Positions (direct):
Ac 0.078 0.329 0.607
Ac 0.176 0.440 0.105
Ac 0.335 0.071 0.895
Ac 0.529 0.922 0.251
Ac 0.560 0.665 0.736
Ac 0.671 0.278 0.749
Ac 0.722 0.471 0.393
Ac 0.929 0.824 0.264
La 0.029 0.725 0.900
La 0.250 0.750 0.500
La 0.275 0.174 0.304
La 0.826 0.129 0.100
La 0.871 0.971 0.696
Tb 0.500 0.500 0.000

---

Number 1: E_form -0.218 eV per atom, V 27.50 A^3/atom. Number 2: E_form 0.208 eV per atom, V 42.16 A^3/atom.